(1)
# K2SeO4, relaxed, DFT PBE
# * energy: -5.03 eV per atom
# * M_tot: 0.026 μB/atom
# * Fermi-level density of states: 0.00 states/eV/cell
data_K2SeO4
_symmetry_space_group_name_H-M 'I -4 2 m'
_symmetry_Int_Tables_number 121
_symmetry_space_group_name_Hall 'I -4 2'
_cell_length_a 6.2975
_cell_length_b 6.2975
_cell_length_c 8.8343
_cell_angle_alpha 90.00
_cell_angle_beta 90.00
_cell_angle_gamma 90.00
loop_
_atom_site_label
_atom_site_fract_x
_atom_site_fract_y
_atom_site_fract_z
K1 0.0000 0.5000 0.2500
Se1 0.0000 0.0000 0.0000
O1 0.1550 0.1550 0.1083

---

(2)
# MgTa2Be, relaxed, DFT PBE
# * energy: -6.68 eV per atom
# * M_tot: 0.094 μB/atom
# * ΔH_f (0 K): 579 meV/atom
# * Fermi-level density of states: 22.70 states/eV/cell
data_MgTa2Be
_symmetry_space_group_name_H-M 'F -4 3 m'
_symmetry_Int_Tables_number 216
_symmetry_space_group_name_Hall 'F -4 2 3'
_cell_length_a 6.4394
_cell_length_b 6.4394
_cell_length_c 6.4394
_cell_angle_alpha 90.00
_cell_angle_beta 90.00
_cell_angle_gamma 90.00
loop_
_atom_site_label
_atom_site_fract_x
_atom_site_fract_y
_atom_site_fract_z
Mg1 0.0000 0.0000 0.0000
Ta1 0.0000 0.0000 0.5000
Ta2 0.2500 0.2500 0.2500
Be1 0.2500 0.2500 0.7500

---

(3)
# SrRe2Ir, relaxed, DFT PBE
# * energy: -7.77 eV per atom
# * M_tot: 0.000 μB/atom
# * ΔH_f (0 K): 1090 meV/atom
# * Fermi-level density of states: 7.94 states/eV/cell
data_SrRe2Ir
_symmetry_space_group_name_H-M 'I 4/m m m'
_symmetry_Int_Tables_number 139
_symmetry_space_group_name_Hall '-I 4 2'
_cell_length_a 3.9410
_cell_length_b 3.9410
_cell_length_c 9.3552
_cell_angle_alpha 90.00
_cell_angle_beta 90.00
_cell_angle_gamma 90.00
loop_
_atom_site_label
_atom_site_fract_x
_atom_site_fract_y
_atom_site_fract_z
Sr1 0.0000 0.0000 0.0000
Re1 0.0000 0.5000 0.2500
Ir1 0.0000 0.0000 0.5000

---

(4)
# BeCd2Co, relaxed, DFT PBE
# * energy: -2.70 eV per atom
# * M_tot: 0.319 μB/atom
# * ΔH_f (0 K): 464 meV/atom
# * Fermi-level density of states: 6.64 states/eV/cell
data_BeCd2Co
_symmetry_space_group_name_H-M 'C 1 2/m 1'
_symmetry_Int_Tables_number 12
_cell_length_a 8.9607
_cell_length_b 2.8286
_cell_length_c 4.9781
_cell_angle_alpha 90.00
_cell_angle_beta 101.44
_cell_angle_gamma 90.00
loop_
_symmetry_equiv_pos_as_xyz
'x,y,z'
'-x,-y,-z'
'-x,y,-z'
'x,-y,z'
'x+1/2,y+1/2,z'
'-x+1/2,-y+1/2,-z'
'-x+1/2,y+1/2,-z'
'x+1/2,-y+1/2,z'
loop_
_atom_site_label
_atom_site_fract_x
_atom_site_fract_y
_atom_site_fract_z
Be1 0.0000 0.0000 0.0000
Cd1 0.2444 0.5000 0.2469
Co1 0.0000 0.5000 0.5000

---

(5)
# Ac8Dy2Ho3, relaxed, DFT PBE
# * energy: -4.06 eV per atom
# * M_tot: 0.000 μB/atom
# * ΔH_f (0 K): 229 meV/atom
# * Fermi-level density of states: 32.94 states/eV/cell
data_Ac8Dy2Ho3
_symmetry_space_group_name_H-M 'C m m m'
_symmetry_Int_Tables_number 65
_symmetry_space_group_name_Hall '-C 2 2'
_cell_length_a 8.4941
_cell_length_b 20.6552
_cell_length_c 6.1047
_cell_angle_alpha 90.00
_cell_angle_beta 90.00
_cell_angle_gamma 90.00
loop_
_atom_site_label
_atom_site_fract_x
_atom_site_fract_y
_atom_site_fract_z
Ac1 0.0000 0.1267 0.0000
Ac2 0.0000 0.3246 0.0000
Ac3 0.2058 0.3946 0.5000
Dy1 0.0000 0.2377 0.5000
Ho1 0.0000 0.0000 0.5000
Ho2 0.2023 0.5000 0.0000

---

(6)
# CdTe3Ir, relaxed, DFT PBE
# * energy: -3.40 eV per atom
# * M_tot: 0.000 μB/atom
# * Fermi-level density of states: 8.67 states/eV/cell
data_CdTe3Ir
_symmetry_space_group_name_H-M 'P m -3 m'
_symmetry_Int_Tables_number 221
_symmetry_space_group_name_Hall '-P 4 2 3'
_cell_length_a 5.3060
_cell_length_b 5.3060
_cell_length_c 5.3060
_cell_angle_alpha 90.00
_cell_angle_beta 90.00
_cell_angle_gamma 90.00
loop_
_atom_site_label
_atom_site_fract_x
_atom_site_fract_y
_atom_site_fract_z
Cd1 0.0000 0.0000 0.0000
Te1 0.0000 0.5000 0.5000
Ir1 0.5000 0.5000 0.5000